A.
Below is a relaxed BeFeAsAu crystal, with properties calculated at the GGA-PBE level.

a = 4.2773 Å, b = 4.2773 Å, c = 4.2773 Å
α = 60.00°, β = 60.00°, γ = 60.00°
Closest atoms and distances in Å follow each position.
Atoms (fractional coordinates):
1 Be 0.0000 0.0000 0.0000  4 Fe 2.62, 4 Au 2.62
2 Fe 0.7500 0.7500 0.7500  4 As 2.62, 4 Be 2.62
3 As 0.5000 0.5000 0.5000  4 Fe 2.62, 4 Au 2.62
4 Au 0.2500 0.2500 0.2500  4 As 2.62, 4 Be 2.62

Properties
- Space group: F-43m, No. 216

---

B.
Below is a relaxed BeFeAsAu crystal, with properties calculated at the GGA-PBE level.

a = 4.3178 Å, b = 4.3178 Å, c = 4.3178 Å
α = 60.00°, β = 60.00°, γ = 60.00°
Closest atoms and distances in Å follow each position.
Atoms (fractional coordinates):
1 Be 0.0000 0.0000 0.0000  4 As 2.64, 4 Au 2.64
2 Fe 0.5000 0.5000 0.5000  4 Au 2.64, 4 As 2.64
3 As 0.2500 0.2500 0.2500  4 Fe 2.64, 4 Be 2.64
4 Au 0.7500 0.7500 0.7500  4 Fe 2.64, 4 Be 2.64

Properties
- Space group: F-43m, No. 216

---

The most stable arrangement is B, and the next structure is 0.016 eV/atom less stable.

---

A.
Below is a relaxed BeAsAuO crystal, with properties calculated at the GGA-PBE level.

a = 2.8098 Å, b = 6.9872 Å, c = 6.1324 Å
α = 90.00°, β = 90.00°, γ = 90.00°
Closest atoms and distances in Å follow each position.
Atoms (fractional coordinates):
1 Be 0.0000 0.1773 0.0000  2 O 1.51
2 Be 0.0000 0.8227 0.5000  2 O 1.51
3 As 0.0000 0.4851 0.8084  1 Be 2.45, 2 Au 2.64
4 As 0.0000 0.5149 0.3084  1 Be 2.45, 2 Au 2.64
5 Au 0.5000 0.2251 0.4635  1 O 2.28
6 Au 0.5000 0.7749 0.9635  1 O 2.28
7 O 0.5000 0.0991 0.0035  2 Be 1.51
8 O 0.5000 0.9009 0.5035  2 Be 1.51

Properties
- Space group: Pmc2_1, No. 26

---

B.
Below is a relaxed BeAsAuO crystal, with properties calculated at the GGA-PBE level.

a = 3.6244 Å, b = 3.6244 Å, c = 9.5256 Å
α = 90.00°, β = 90.00°, γ = 90.00°
Closest atoms and distances in Å follow each position.
Atoms (fractional coordinates):
1 Be 0.2500 0.2500 0.0097  4 O 1.81
2 Be 0.7500 0.7500 0.9903  4 O 1.81
3 As 0.2500 0.2500 0.2875  1 Be 2.65, 4 Au 2.72
4 As 0.7500 0.7500 0.7125  1 Be 2.65, 4 Au 2.72
5 Au 0.2500 0.7500 0.5000  4 Au 2.56, 4 As 2.72
6 Au 0.7500 0.2500 0.5000  4 Au 2.56, 4 As 2.72
7 O 0.2500 0.7500 0.0000  4 Be 1.81
8 O 0.7500 0.2500 0.0000  4 Be 1.81

Properties
- Space group: P4/nmm, No. 129

---

C.
Below is a relaxed BeAsAuO crystal, with properties calculated at the GGA-PBE level.

a = 3.9872 Å, b = 3.9872 Å, c = 7.7899 Å
α = 90.00°, β = 90.00°, γ = 90.00°
Closest atoms and distances in Å follow each position.
Atoms (fractional coordinates):
1 Be 0.2500 0.7500 0.0000  4 As 2.34
2 Be 0.7500 0.2500 0.0000  4 As 2.34
3 As 0.2500 0.2500 0.1563  4 Be 2.34
4 As 0.7500 0.7500 0.8437  4 Be 2.34
5 Au 0.2500 0.2500 0.6126  4 O 2.18
6 Au 0.7500 0.7500 0.3874  4 O 2.18
7 O 0.2500 0.7500 0.5000  4 Au 2.18
8 O 0.7500 0.2500 0.5000  4 Au 2.18

Properties
- Space group: P4/nmm, No. 129

---

The most stable arrangement is A, and the next structure is 0.136 eV/atom less stable.